# CoMoIr3 | Alexandria | GGA-PBE | optimized geometry
data_CoMoIr3
_cell_length_a 11.960
_cell_length_b 4.928
_cell_length_c 4.963
_cell_angle_alpha 90.00
_cell_angle_beta 90.00
_cell_angle_gamma 90.00
_symmetry_space_group_name_H-M 'P n n a'
_symmetry_Int_Tables_number 52
_symmetry_space_group_name_Hall '-P 2a 2bc'
loop_
_atom_site_label
_atom_site_type_symbol
_atom_site_fract_x
_atom_site_fract_y
_atom_site_fract_z
_atom_site_occupancy
Co1 Co 0.040 0.250 0.250 1
Mo1 Mo 0.250 0.000 0.120 1
Ir1 Ir 0.042 0.750 0.250 1
Ir2 Ir 0.145 0.002 0.623 1
# Formation enthalpy at 0 K in meV/atom: 165
# Mass density in Mg/m³: 16.6